[1]
WCl PBE relaxed; raw formation energy = 300 kJ/mol of formula units; calculated density = 12.25 g/cm³
1.0
3.097 0.000 0.000
0.000 3.097 0.000
0.000 0.000 3.097
W Cl
1 1
direct
0.000 0.000 0.000
0.500 0.500 0.500

=====

[2]
Cs2K3InCl6 PBE relaxed; raw formation energy = -2032 kJ/mol of formula units; calculated density = 2.70 g/cm³
1.0
10.244 -2.337 0.000
10.244 2.337 0.000
-2.248 0.000 9.145
Cs K In Cl
2 3 1 6
direct
0.166 0.166 0.329
0.834 0.834 0.671
0.165 0.165 0.835
0.500 0.500 0.500
0.835 0.835 0.165
0.500 0.500 0.000
0.006 0.006 0.753
0.333 0.333 0.937
0.340 0.340 0.402
0.660 0.660 0.598
0.667 0.667 0.063
0.994 0.994 0.247

=====

[3]
CdIrOs2 PBE relaxed; formation energy from the elements = 0.59 eV per atom; calculated density = 18.34 g/cm³
1.0
-1.944 1.944 4.105
1.944 -1.944 4.105
1.944 1.944 -4.105
Cd Ir Os
1 1 2
direct
0.000 0.000 0.000
0.500 0.500 0.000
0.250 0.750 0.500
0.750 0.250 0.500

=====

[4]
Te2SeS3 PBE relaxed; raw formation energy = 45 kJ/mol of formula units; calculated density = 3.59 g/cm³
1.0
4.991 0.000 0.000
-0.001 7.703 0.000
-2.322 -3.816 10.351
Te Se S
4 2 6
direct
0.000 0.000 0.000
0.000 0.500 0.000
0.500 0.000 0.500
0.500 0.500 0.500
0.175 0.296 0.593
0.825 0.704 0.407
0.190 0.787 0.574
0.324 0.213 0.926
0.324 0.713 0.926
0.676 0.287 0.074
0.676 0.787 0.074
0.810 0.213 0.426

=====

[5]
La5Te4S PBE relaxed; raw formation energy = -1608 kJ/mol of formula units; calculated density = 6.34 g/cm³
1.0
-2.250 2.250 16.006
2.250 -2.250 16.006
2.250 2.250 -16.006
La Te S
5 4 1
direct
0.000 0.000 0.000
0.204 0.204 0.000
0.411 0.411 0.000
0.589 0.589 0.000
0.796 0.796 0.000
0.101 0.101 0.000
0.306 0.306 0.000
0.694 0.694 0.000
0.899 0.899 0.000
0.500 0.500 0.000

=====

[6]
AcPr6Er5 PBE relaxed; formation energy from the elements = 0.03 eV per atom; calculated density = 7.68 g/cm³
1.0
2.593 -7.773 0.000
2.593 7.773 0.000
0.000 0.000 10.234
Ac Pr Er
1 6 5
direct
0.000 0.000 0.000
0.168 0.832 0.254
0.168 0.832 0.746
0.500 0.500 0.258
0.500 0.500 0.742
0.832 0.168 0.254
0.832 0.168 0.746
0.000 0.000 0.500
0.329 0.671 0.000
0.333 0.667 0.500
0.667 0.333 0.500
0.671 0.329 0.000

=====

[7]
MnAg3Ir PBE relaxed; formation energy from the elements = 1.34 eV per atom; calculated density = 7.43 g/cm³
1.0
5.034 0.000 0.000
0.000 5.034 0.000
0.000 0.000 5.034
Mn Ag Ir
1 3 1
direct
0.000 0.000 0.000
0.000 0.500 0.500
0.500 0.000 0.500
0.500 0.500 0.000
0.500 0.500 0.500

=====

[8]
CrHOs3 PBE relaxed; E = -6.87 eV/atom; calculated density = 11.83 g/cm³
1.0
4.440 0.000 0.000
0.000 4.440 0.000
0.000 0.000 4.440
Cr H Os
1 1 3
direct
0.000 0.000 0.000
0.500 0.500 0.500
0.000 0.000 0.500
0.000 0.500 0.000
0.500 0.000 0.000

=====

> Among the records above, which one has the lowest calculated density?

Cs2K3InCl6